(i)
Compound: CeDySc4
Source: Alexandria via LeMat-Bulk
Functional: PBE
Structure: relaxed

Computed properties:
* volume: 158 Å³ per cell
* DOS at the Fermi energy: 12.6 states/eV per cell

Unit cell a=3.2484 b=6.2268 c=9.1794 alpha=90.00 beta=90.00 gamma=121.45
Closest atoms and distances in Å follow each position.
Atoms (fractional coordinates):
Ce  0.9973  0.0013  0.5019  2 Ce 3.25, 12 Sc 3.46-3.47
Sc  0.4980  0.0012  0.1693  5 Sc 3.06-3.25
Sc  0.9967  0.5012  0.3358  5 Sc 3.05-3.25
Sc  0.4965  0.0014  0.8344  5 Sc 3.06-3.25
Sc  0.9979  0.5014  0.6680  5 Sc 3.05-3.25
Dy  0.4973  0.5013  0.0019  2 Dy 3.25, 12 Sc 3.47

(ii)
Compound: CeDySc4
Source: Alexandria via LeMat-Bulk
Functional: PBE
Structure: relaxed

Computed properties:
* volume: 317 Å³ per cell
* DOS at the Fermi energy: 24.6 states/eV per cell

Unit cell a=5.4239 b=6.9557 c=8.4066 alpha=90.00 beta=90.00 gamma=90.00
Closest atoms and distances in Å follow each position.
Atoms (fractional coordinates):
Sc  0.0000  0.5000  0.0000  2 Ce 3.03, 4 Sc 3.22, 2 Dy 3.35
Sc  0.5000  0.5106  0.3162  4 Sc 3.09-3.33, 2 Ce 3.19, 2 Dy 3.27
Sc  0.5000  0.2500  0.0050  10 Sc 3.17-3.48
Sc  0.0000  0.0000  0.0000  2 Ce 3.03, 4 Sc 3.22, 2 Dy 3.35
Sc  0.5000  0.7500  0.9950  10 Sc 3.17-3.48
Sc  0.5000  0.9894  0.3162  4 Sc 3.09-3.33, 2 Ce 3.19, 2 Dy 3.27
Sc  0.5000  0.0106  0.6838  4 Sc 3.09-3.33, 2 Ce 3.19, 2 Dy 3.27
Sc  0.5000  0.4894  0.6838  4 Sc 3.09-3.33, 2 Ce 3.19, 2 Dy 3.27
Ce  0.0000  0.2500  0.7052  6 Sc 3.03-3.19, 1 Dy 3.06
Ce  0.0000  0.7500  0.2948  6 Sc 3.03-3.19, 1 Dy 3.06
Dy  0.0000  0.2500  0.3413  1 Ce 3.06, 6 Sc 3.27-3.35
Dy  0.0000  0.7500  0.6587  1 Ce 3.06, 6 Sc 3.27-3.35

It comes down to (i), which is 0.124 eV/atom more stable than the next structure.

(i)
Compound: CeDyThSc
Source: Alexandria via LeMat-Bulk
Functional: PBE
Structure: relaxed

Computed properties:
* volume: 119 Å³ per cell
* DOS at the Fermi energy: 12.6 states/eV per cell

Unit cell a=5.5142 b=5.5142 c=5.5142 alpha=60.00 beta=60.00 gamma=60.00
Closest atoms and distances in Å follow each position.
Atoms (fractional coordinates):
Sc  0.0000  0.0000  0.0000  4 Dy 3.38, 4 Th 3.38
Dy  0.2500  0.2500  0.2500  4 Ce 3.38, 4 Sc 3.38
Ce  0.5000  0.5000  0.5000  4 Th 3.38, 4 Dy 3.38
Th  0.7500  0.7500  0.7500  4 Sc 3.38, 4 Ce 3.38

(ii)
Compound: CeDyThSc
Source: Alexandria via LeMat-Bulk
Functional: PBE
Structure: relaxed

Computed properties:
* volume: 116 Å³ per cell
* DOS at the Fermi energy: 7.9 states/eV per cell

Unit cell a=3.4833 b=3.4831 c=11.2590 alpha=89.99 beta=98.92 gamma=120.01
Closest atoms and distances in Å follow each position.
Atoms (fractional coordinates):
Sc  0.4709  0.1338  0.6198  3 Th 3.36, 3 Dy 3.39, 6 Sc 3.48
Th  0.2995  0.5482  0.8628  3 Sc 3.36, 3 Ce 3.42-3.43, 6 Th 3.48
Dy  0.9738  0.3847  0.3738  3 Sc 3.39, 6 Dy 3.48, 3 Ce 3.52
Ce  0.1337  0.9641  0.1132  3 Th 3.42-3.43, 6 Ce 3.48, 3 Dy 3.52

It comes down to (ii), which is 0.155 eV/atom more stable than the next structure.

(i)
Compound: Ce2Dy3Se8
Source: Alexandria via LeMat-Bulk
Functional: PBE
Structure: relaxed

Computed properties:
* volume: 398 Å³ per cell
* DOS at the Fermi energy: 10.0 states/eV per cell

Unit cell a=6.9636 b=8.2036 c=8.4371 alpha=119.09 beta=106.70 gamma=90.00
Closest atoms and distances in Å follow each position.
Atoms (fractional coordinates):
Se  0.8951  0.6116  0.2232  2 Dy 2.81, 1 Ce 2.84
Se  0.4129  0.3578  0.2468  2 Dy 2.85-2.86, 2 Ce 2.97-2.98
Se  0.4129  0.8890  0.2468  2 Dy 2.85-2.86, 2 Ce 2.97-2.98
Se  0.1049  0.3884  0.7768  2 Dy 2.81, 1 Ce 2.84
Se  0.0795  0.8837  0.7675  3 Dy 2.87-2.90, 1 Ce 2.94
Se  0.5871  0.6422  0.7532  2 Dy 2.85-2.86, 2 Ce 2.97-2.98
Se  0.9205  0.1163  0.2325  3 Dy 2.87-2.90, 1 Ce 2.94
Se  0.5871  0.1110  0.7532  2 Dy 2.85-2.86, 2 Ce 2.97-2.98
Dy  0.0000  0.2598  0.0000  6 Se 2.81-2.90
Dy  0.5000  0.0000  0.0000  6 Se 2.85-2.87
Dy  0.0000  0.7402  0.0000  6 Se 2.81-2.90
Ce  0.6696  0.7407  0.4813  6 Se 2.84-2.98
Ce  0.3304  0.2593  0.5187  6 Se 2.84-2.98

(ii)
Compound: Ce2Dy3Se8
Source: Alexandria via LeMat-Bulk
Functional: PBE
Structure: relaxed

Computed properties:
* volume: 349 Å³ per cell
* DOS at the Fermi energy: 9.9 states/eV per cell

Unit cell a=4.9222 b=10.0064 c=8.6671 alpha=125.26 beta=90.00 gamma=90.00
Closest atoms and distances in Å follow each position.
Atoms (fractional coordinates):
Se  0.5000  0.3616  0.2440  3 Dy 2.95-3.03, 2 Ce 3.07-3.13
Se  0.5000  0.8824  0.2441  3 Dy 2.96-3.03, 2 Ce 3.07-3.13
Se  0.0000  0.3742  0.7483  2 Dy 2.84, 2 Ce 2.92
Se  0.0000  0.8821  0.7641  4 Dy 2.97-3.25, 2 Ce 3.21
Se  0.0000  0.1179  0.2359  4 Dy 2.97-3.25, 2 Ce 3.21
Se  0.0000  0.6258  0.2517  2 Dy 2.84, 2 Ce 2.92
Se  0.5000  0.1176  0.7559  3 Dy 2.96-3.03, 2 Ce 3.07-3.13
Se  0.5000  0.6384  0.7560  3 Dy 2.95-3.03, 2 Ce 3.07-3.13
Dy  0.5000  0.0000  0.0000  8 Se 2.95-2.97
Dy  0.0000  0.7216  0.0001  6 Se 2.84-3.03
Dy  0.0000  0.2784  0.9999  6 Se 2.84-3.03
Ce  0.5000  0.2637  0.5274  8 Se 2.92-3.21
Ce  0.5000  0.7363  0.4726  8 Se 2.92-3.21

It comes down to (i), which is 0.103 eV/atom more stable than the next structure.

(i)
Compound: CeDySe2
Source: Alexandria via LeMat-Bulk
Functional: PBE
Structure: relaxed

Computed properties:
* volume: 102 Å³ per cell
* DOS at the Fermi energy: 6.4 states/eV per cell

Unit cell a=4.0007 b=4.0007 c=7.7069 alpha=74.96 beta=74.96 gamma=60.00
Closest atoms and distances in Å follow each position.
Atoms (fractional coordinates):
Se  0.2471  0.2471  0.2586  3 Dy 2.97, 3 Ce 3.05
Se  0.0861  0.0861  0.7418  3 Dy 2.86, 3 Ce 2.93
Dy  0.4957  0.4957  0.5130  6 Se 2.86-2.97
Ce  0.6711  0.6711  0.9866  6 Se 2.93-3.05

(ii)
Compound: CeDySe2
Source: Alexandria via LeMat-Bulk
Functional: PBE
Structure: relaxed

Computed properties:
* volume: 402 Å³ per cell
* DOS at the Fermi energy: 25.5 states/eV per cell

Unit cell a=5.8565 b=5.8572 c=11.7182 alpha=89.99 beta=90.00 gamma=90.00
Closest atoms and distances in Å follow each position.
Atoms (fractional coordinates):
Se  0.7508  0.9998  0.3708  3 Dy 2.88-2.93, 3 Ce 2.93-2.98
Se  0.2492  0.4998  0.8708  3 Dy 2.88-2.93, 3 Ce 2.93-2.98
Se  0.2492  0.0002  0.6292  3 Dy 2.88-2.93, 3 Ce 2.93-2.98
Se  0.2510  0.9995  0.1209  3 Dy 2.88-2.93, 3 Ce 2.93-2.98
Se  0.7490  0.0005  0.8791  3 Dy 2.88-2.93, 3 Ce 2.93-2.98
Se  0.7508  0.5002  0.1292  3 Dy 2.88-2.93, 3 Ce 2.93-2.98
Se  0.7490  0.4995  0.6209  3 Dy 2.88-2.93, 3 Ce 2.93-2.98
Se  0.2510  0.5005  0.3791  3 Dy 2.88-2.93, 3 Ce 2.93-2.98
Ce  0.7493  0.9996  0.6249  6 Se 2.93-2.98
Ce  0.2507  0.4996  0.1249  6 Se 2.93-2.98
Ce  0.2507  0.0004  0.3751  6 Se 2.93-2.98
Ce  0.7493  0.5004  0.8751  6 Se 2.93-2.98
Dy  0.7511  0.4996  0.3751  6 Se 2.88-2.93
Dy  0.7511  0.0004  0.1249  6 Se 2.88-2.93
Dy  0.2489  0.9996  0.8751  6 Se 2.88-2.93
Dy  0.2489  0.5004  0.6249  6 Se 2.88-2.93

It comes down to (ii), which is 0.077 eV/atom more stable than the next structure.

(i)
Compound: CeDy2Se4
Source: Alexandria via LeMat-Bulk
Functional: PBE
Structure: relaxed

Computed properties:
* volume: 378 Å³ per cell
* DOS at the Fermi energy: 13.9 states/eV per cell

Unit cell a=4.0555 b=7.0343 c=13.8501 alpha=90.00 beta=90.00 gamma=106.75
Closest atoms and distances in Å follow each position.
Atoms (fractional coordinates):
Dy  0.8685  0.7370  0.9338  6 Se 2.82-2.89
Dy  0.1315  0.2630  0.0662  6 Se 2.82-2.89
Dy  0.1315  0.2630  0.4338  6 Se 2.82-2.89
Dy  0.8685  0.7370  0.5662  6 Se 2.82-2.89
Se  0.7730  0.5459  0.1209  3 Dy 2.88-2.89, 2 Ce 3.06
Se  0.0415  0.0830  0.2500  2 Dy 2.82, 2 Ce 2.98
Se  0.7730  0.5459  0.3791  3 Dy 2.88-2.89, 2 Ce 3.06
Se  0.2270  0.4541  0.8791  3 Dy 2.88-2.89, 2 Ce 3.06
Se  0.9585  0.9170  0.7500  2 Dy 2.82, 2 Ce 2.98
Se  0.5000  0.0000  0.5000  4 Dy 2.84
Se  0.5000  0.0000  0.0000  4 Dy 2.84
Se  0.2270  0.4541  0.6209  3 Dy 2.88-2.89, 2 Ce 3.06
Ce  0.6208  0.2415  0.7500  6 Se 2.98-3.06
Ce  0.3792  0.7585  0.2500  6 Se 2.98-3.06

(ii)
Compound: CeDy2Se4
Source: Alexandria via LeMat-Bulk
Functional: PBE
Structure: relaxed

Computed properties:
* volume: 755 Å³ per cell
* DOS at the Fermi energy: 32.9 states/eV per cell

Unit cell a=4.0478 b=13.6620 c=13.6574 alpha=90.00 beta=90.00 gamma=90.00
Closest atoms and distances in Å follow each position.
Atoms (fractional coordinates):
Se  0.2500  0.2119  0.7389  3 Dy 2.88-2.93, 2 Ce 3.09
Se  0.2500  0.2551  0.4824  3 Dy 2.86, 2 Ce 3.03
Se  0.7500  0.7881  0.2611  3 Dy 2.88-2.93, 2 Ce 3.09
Se  0.2500  0.7551  0.0176  3 Dy 2.86, 2 Ce 3.03
Se  0.7500  0.9691  0.8755  4 Dy 2.86-2.91
Se  0.7500  0.5320  0.1148  2 Dy 2.85, 3 Ce 3.01-3.09
Se  0.2500  0.0309  0.1245  4 Dy 2.86-2.91
Se  0.7500  0.7449  0.5176  3 Dy 2.86, 2 Ce 3.03
Se  0.7500  0.2881  0.2389  3 Dy 2.88-2.93, 2 Ce 3.09
Se  0.7500  0.4691  0.6245  4 Dy 2.86-2.91
Se  0.2500  0.7119  0.7611  3 Dy 2.88-2.93, 2 Ce 3.09
Se  0.7500  0.0320  0.3852  2 Dy 2.85, 3 Ce 3.01-3.09
Se  0.2500  0.9680  0.6148  2 Dy 2.85, 3 Ce 3.01-3.09
Se  0.7500  0.2449  0.9824  3 Dy 2.86, 2 Ce 3.03
Se  0.2500  0.5309  0.3755  4 Dy 2.86-2.91
Se  0.2500  0.4680  0.8852  2 Dy 2.85, 3 Ce 3.01-3.09
Dy  0.7500  0.8919  0.0734  6 Se 2.86-2.93
Dy  0.7500  0.3919  0.4266  6 Se 2.86-2.93
Dy  0.2500  0.6081  0.5734  6 Se 2.86-2.93
Dy  0.7500  0.3487  0.8002  6 Se 2.85-2.91
Dy  0.2500  0.6513  0.1998  6 Se 2.85-2.91
Dy  0.7500  0.8487  0.6998  6 Se 2.85-2.91
Dy  0.2500  0.1513  0.3002  6 Se 2.85-2.91
Dy  0.2500  0.1081  0.9266  6 Se 2.86-2.93
Ce  0.7500  0.6290  0.9108  7 Se 3.01-3.09
Ce  0.2500  0.3710  0.0892  7 Se 3.01-3.09
Ce  0.2500  0.8710  0.4108  7 Se 3.01-3.09
Ce  0.7500  0.1290  0.5892  7 Se 3.01-3.09

It comes down to (ii), which is 0.007 eV/atom more stable than the next structure.